(1)
Density functional theory data (GGA+U) for an optimized crystal structure of ErCrO5.

Properties
Space-group type: No. 129
D(E_F), states/eV per cell: 11.1

a = 4.4762 Å, b = 7.2040 Å, c = 7.2040 Å
α = 90.00°, β = 90.00°, γ = 90.00°
Positions (direct):
O (0.2867, 0.5000, 0.6890)
Cr (0.5000, 0.5000, 0.5000)
Er (0.7527, 0.0000, 0.5000)
O (0.2867, 0.5000, 0.3110)
O (0.2514, 0.0000, 0.5000)
O (0.7133, 0.0000, 0.8110)
O (0.7133, 0.0000, 0.1890)
O (0.2867, 0.8110, 0.0000)
Cr (0.5000, 0.0000, 0.0000)
O (0.2867, 0.1890, 0.0000)
O (0.7133, 0.3110, 0.5000)
Er (0.2473, 0.5000, 0.0000)
O (0.7486, 0.5000, 0.0000)
O (0.7133, 0.6890, 0.5000)

=====

(2)
Density functional theory data (GGA+U) for an optimized crystal structure of Er3CrO7.

Properties
Space-group type: No. 20

a = 6.3469 Å, b = 6.3469 Å, c = 7.2311 Å
α = 90.00°, β = 90.00°, γ = 108.10°
Positions (direct):
O (0.3611, 0.6389, 0.7500)
O (0.7051, 0.9568, 0.5435)
Er (0.9982, 0.5409, 0.7399)
O (0.3207, 0.0760, 0.4768)
Er (0.0018, 0.4591, 0.2399)
O (0.3699, 0.6301, 0.2500)
O (0.2949, 0.0432, 0.0435)
O (0.6389, 0.3611, 0.2500)
Cr (0.0066, 0.0066, 0.0000)
O (0.9568, 0.7051, 0.4565)
Er (0.4515, 0.4515, 0.5000)
O (0.0639, 0.9361, 0.7500)
Er (0.5409, 0.9982, 0.2601)
O (0.0432, 0.2949, 0.9565)
Cr (0.9934, 0.9934, 0.5000)
O (0.9240, 0.6793, 0.0232)
Er (0.4591, 0.0018, 0.7601)
O (0.0760, 0.3207, 0.5232)
Er (0.5485, 0.5485, 0.0000)
O (0.6301, 0.3699, 0.7500)
O (0.9361, 0.0639, 0.2500)
O (0.6793, 0.9240, 0.9768)

=====

So what do the calculations give for E? Going down the list: -7.047; -7.968 eV/atom.